Entry 1:
DFT (PBE) results for a relaxed structure of BaAgAsPd2.

Cell and atoms, written as POSCAR:
```
BaAgAsPd2
1.0
-2.197 -0.093 -4.421
-4.336 -0.928 2.174
-0.877 4.879 0.334
As Pd Ba Ag
1 2 1 1
Direct
0.000 0.000 0.000
0.000 0.500 0.000
0.500 0.000 0.000
0.500 0.500 0.500
0.000 0.000 0.500
```

Output
**SG**: No. 123
**Energy of formation from the pure elements**: -40.9 kJ per mole of atoms
**Total DFT energy (no corrections)**: -4.3861 eV/atom
**Fermi-level density of states**: 0.11 states/eV/atom

***

Entry 2:
DFT (PBE) results for a relaxed structure of LiMgAl2Ge.

Cell and atoms, written as POSCAR:
```
LiMgAl2Ge
1.0
-3.611 -1.370 3.171
3.375 -2.372 2.819
0.694 3.963 2.502
Mg Ge Al Li
1 1 2 1
Direct
0.500 0.500 0.500
0.000 0.000 0.000
0.000 0.500 0.000
0.500 0.000 0.000
0.000 0.000 0.500
```

Output
**SG**: No. 123
**Energy of formation from the pure elements**: 28.6 kJ per mole of atoms
**Total DFT energy (no corrections)**: -2.8257 eV/atom
**Fermi-level density of states**: 0.41 states/eV/atom

***

Entry 3:
DFT (PBE) results for a relaxed structure of SrNdCdHg.

Cell and atoms, written as POSCAR:
```
SrNdCdHg
1.0
5.546 0.000 0.000
2.773 4.803 0.000
2.773 1.601 4.529
Sr Nd Hg Cd
1 1 1 1
Direct
0.500 0.500 0.500
0.000 0.000 0.000
0.250 0.250 0.250
0.750 0.750 0.750
```

Output
**SG**: No. 216
**Energy of formation from the pure elements**: -37.9 kJ per mole of atoms
**Total DFT energy (no corrections)**: -2.3091 eV/atom
**Fermi-level density of states**: 0.87 states/eV/atom

***

Entry 4:
DFT (PBE) results for a relaxed structure of HoSb2Te4.

Cell and atoms, written as POSCAR:
```
HoSb2Te4
1.0
4.150 0.000 0.000
-2.075 7.694 0.000
0.000 0.000 14.540
Ho Sb Te
2 4 8
Direct
0.612 0.223 0.750
0.388 0.777 0.250
0.133 0.267 0.433
0.867 0.733 0.933
0.133 0.267 0.067
0.867 0.733 0.567
0.790 0.580 0.123
0.790 0.580 0.377
0.210 0.420 0.877
0.210 0.420 0.623
0.968 0.936 0.750
0.032 0.064 0.250
0.500 0.000 0.000
0.500 0.000 0.500
```

Output
**SG**: No. 63
**Total DFT energy (no corrections)**: -4.0415 eV/atom
**ΔE_f (raw)**: -279.9 kJ/mol of formula units
**Fermi-level density of states**: 0.55 states/eV/atom

***

Entry 5:
DFT (PBE) results for a relaxed structure of Rb2MnHgSe.

Cell and atoms, written as POSCAR:
```
Rb2MnHgSe
1.0
6.808 0.000 0.000
0.000 4.764 0.000
0.000 0.000 6.808
Mn Se Hg Rb
1 1 1 2
Direct
0.000 0.500 0.000
0.000 0.000 0.000
0.500 0.500 0.500
0.000 0.000 0.500
0.500 0.000 0.000
```

Output
**SG**: No. 123
**Total DFT energy (no corrections)**: -3.1708 eV/atom
**ΔE_f (raw)**: -92.9 kJ/mol of formula units
**Fermi-level density of states**: 0.96 states/eV/atom

***

Entry 6:
DFT (PBE) results for a relaxed structure of NpAlSb2.

Cell and atoms, written as POSCAR:
```
NpAlSb2
1.0
-0.405 1.367 2.803
1.852 -0.789 2.417
8.025 8.629 -1.284
Np Sb Al
1 2 1
Direct
0.000 0.000 0.000
0.091 0.091 0.728
0.909 0.909 0.272
0.500 0.500 0.500
```

Output
**SG**: No. 166
**Total DFT energy (no corrections)**: -5.7926 eV/atom
**ΔE_f (raw)**: 169.6 kJ/mol of formula units
**Fermi-level density of states**: 1.27 states/eV/atom

***

Entry 7:
DFT (PBE) results for a relaxed structure of Mg2AlH2.

Cell and atoms, written as POSCAR:
```
Mg2AlH2
1.0
3.201 0.000 0.000
0.000 3.201 0.000
1.600 1.600 6.464
H Mg Al
2 2 1
Direct
0.750 0.250 0.500
0.250 0.750 0.500
0.341 0.341 0.319
0.659 0.659 0.681
0.000 0.000 0.000
```

Output
**SG**: No. 139
**Total DFT energy (no corrections)**: -2.7473 eV/atom
**Fermi-level density of states**: 0.33 states/eV/atom

***

Entry 8:
DFT (PBE) results for a relaxed structure of Dy2PaRuN4.

Cell and atoms, written as POSCAR:
```
Dy2PaRuN4
1.0
-1.229 2.533 -1.838
-4.035 -1.040 4.340
5.401 7.581 6.838
Dy Pa Ru N
4 2 2 8
Direct
0.371 0.742 0.552
0.629 0.258 0.052
0.629 0.258 0.448
0.371 0.742 0.948
0.116 0.231 0.750
0.884 0.769 0.250
0.857 0.714 0.750
0.143 0.286 0.250
0.283 0.566 0.135
0.717 0.434 0.635
0.717 0.434 0.865
0.283 0.566 0.365
0.000 0.000 0.500
0.000 0.000 0.000
0.466 0.932 0.750
0.534 0.068 0.250
```

Output
**SG**: No. 63
**Total DFT energy (no corrections)**: -8.7966 eV/atom
**ΔE_f (raw)**: -877.5 kJ/mol of formula units
**Fermi-level density of states**: 0.33 states/eV/atom

***

Entry 9:
DFT (PBE) results for a relaxed structure of Dy2PuPaN6.

Cell and atoms, written as POSCAR:
```
Dy2PuPaN6
1.0
5.867 0.000 0.000
2.934 5.081 0.000
2.934 1.694 4.879
Dy Pu Pa N
2 1 1 6
Direct
0.540 0.540 0.379
0.036 0.036 0.891
0.317 0.317 0.050
0.812 0.812 0.565
0.590 0.181 0.266
0.181 0.964 0.266
0.964 0.590 0.266
0.441 0.668 0.778
0.668 0.113 0.778
0.113 0.441 0.778
```

Output
**SG**: No. 146
**Total DFT energy (no corrections)**: -9.5731 eV/atom
**ΔE_f (raw)**: -1229.8 kJ/mol of formula units

***

Entry 10:
DFT (PBE) results for a relaxed structure of Ni2Pt2Pb.

Cell and atoms, written as POSCAR:
```
Ni2Pt2Pb
1.0
3.837 0.000 0.000
0.000 3.837 0.000
1.919 1.919 5.768
Pb Ni Pt
1 2 2
Direct
0.000 0.000 0.000
0.398 0.398 0.204
0.602 0.602 0.796
0.750 0.250 0.500
0.250 0.750 0.500
```

Output
**SG**: No. 139
**Energy of formation from the pure elements**: 14.5 kJ per mole of atoms
**Total DFT energy (no corrections)**: -5.3208 eV/atom
**Fermi-level density of states**: 1.66 states/eV/atom

***

Entry 11:
DFT (PBE) results for a relaxed structure of LiLuPd2.

Cell and atoms, written as POSCAR:
```
LiLuPd2
1.0
-3.963 2.379 0.055
-2.476 0.276 3.893
-0.260 4.004 2.294
Lu Pd Li
1 2 1
Direct
0.000 0.000 0.000
0.250 0.250 0.250
0.750 0.750 0.750
0.500 0.500 0.500
```

Output
**SG**: No. 225
**Energy of formation from the pure elements**: -72.5 kJ per mole of atoms
**Total DFT energy (no corrections)**: -4.9560 eV/atom
**Fermi-level density of states**: 0.50 states/eV/atom

***

Entry 12:
DFT (PBE) results for a relaxed structure of SrCd4In15.

Cell and atoms, written as POSCAR:
```
SrCd4In15
1.0
-3.435 0.582 -3.220
-2.807 -2.923 2.467
-8.396 18.437 12.291
Sr Cd In
1 4 15
Direct
0.000 0.000 0.000
0.000 0.000 0.200
0.000 0.000 0.400
0.000 0.000 0.600
0.000 0.000 0.800
0.500 0.500 0.000
0.500 0.500 0.204
0.500 0.500 0.402
0.500 0.500 0.598
0.500 0.500 0.796
0.500 0.000 0.106
0.500 0.000 0.301
0.500 0.000 0.500
0.500 0.000 0.699
0.500 0.000 0.894
0.000 0.500 0.106
0.000 0.500 0.301
0.000 0.500 0.500
0.000 0.500 0.699
0.000 0.500 0.894
```

Output
**SG**: No. 123
**Energy of formation from the pure elements**: -3.6 kJ per mole of atoms
**Total DFT energy (no corrections)**: -2.3584 eV/atom
**Fermi-level density of states**: 0.37 states/eV/atom